VASP calculation (PBE-GGA) on a relaxed structure of Er6BiP2S3.

For the total moment, the calculation gives 0.0 μB/f.u. The formation energy (no corrections) comes out at -1.63 eV/atom.

The structure belongs to space group C2/m (No. 12); the cell edges are 17.416, 3.997 and 8.045 Å and the angles 90.00°, 102.60° and 90.00°. Symmetry generates all atoms from Er at (0.005, 0.000, 0.277), Er at (0.170, 0.500, 0.578), Er at (0.176, 0.500, 0.102), Bi at (0.000, 0.500, 0.000), P at (0.168, 0.000, 0.337), S at (0.000, 0.500, 0.500) and S at (0.164, 0.000, 0.833).